Crystalline Ti2SeCl3 at its relaxed geometry. Source: Alexandria via LeMat-Bulk, functional GGA-PBE.

Calculated values
V: 271 Å³/cell
Raw formation energy: -8.2 eV per formula unit
Raw total energy: -5.50 eV/atom
Space group: P3m1, No. 156

a b c (Å): 3.340 3.340 28.088
angles (deg): 90.00 90.00 120.00
Fractional positions:
Se: 0.667 0.333 0.190
Se: 0.667 0.333 0.308
Ti: 0.333 0.667 0.750
Ti: 0.333 0.667 0.249
Ti: 0.667 0.333 0.997
Ti: 0.667 0.333 0.501
Cl: 0.333 0.667 0.942
Cl: 0.333 0.667 0.445
Cl: 0.667 0.333 0.694
Cl: 0.333 0.667 0.053
Cl: 0.667 0.333 0.806
Cl: 0.333 0.667 0.556